1.
This record from Alexandria via LeMat-Bulk describes crystalline Sm2Cd3Ir2 at its relaxed geometry. The functional is PBE.

It has space group C2/m (No. 12), with a = 10.2816 Å, b = 4.2831 Å, c = 7.3143 Å, α = 90.00°, β = 98.86° and γ = 90.00°. Symmetry generates all atoms from Sm at (0.1256, 0.0000, 0.3598), Cd at (0.0000, 0.5000, 0.0000), Cd at (0.1942, 0.0000, 0.8692) and Ir at (0.0847, 0.5000, 0.6463).

The value obtained for the formation energy from the elements is -290 kJ/mol of formula units. As for the energy: -4.70 eV per atom.

---

2.
This record from Alexandria via LeMat-Bulk describes crystalline Sm5Cd2Ir2 at its relaxed geometry. The functional is PBE.

It has space group Cmce (No. 64), with a = 16.3040 Å, b = 7.6371 Å, c = 7.8885 Å, α = 90.00°, β = 90.00° and γ = 90.00°. Symmetry generates all atoms from Sm at (0.0000, 0.0000, 0.0000), Sm at (0.1180, 0.1719, 0.3258), Cd at (0.2166, 0.0000, 0.0000) and Ir at (0.0000, 0.1289, 0.6303).

The value obtained for the formation energy from the elements is -436 kJ/mol of formula units. As for the energy: -5.30 eV per atom.

---

3.
This record from Alexandria via LeMat-Bulk describes crystalline Sm3CdIr at its relaxed geometry. The functional is PBE.

It has space group P2_1/m (No. 11), with a = 7.5600 Å, b = 4.6589 Å, c = 8.6490 Å, α = 90.00°, β = 109.04° and γ = 90.00°. Symmetry generates all atoms from Sm at (0.0646, 0.2500, 0.2678), Sm at (0.3026, 0.2500, 0.9335), Sm at (0.3291, 0.7500, 0.5928), Cd at (0.3319, 0.7500, 0.1999) and Ir at (0.0878, 0.2500, 0.6089).

The value obtained for the formation energy from the elements is -201 kJ/mol of formula units. As for the energy: -5.20 eV per atom. For the energy above the most stable polymorph in this dataset, the calculation gives 36.8 meV per atom.

---

4.
This record from Alexandria via LeMat-Bulk describes crystalline Sm3CdIr at its relaxed geometry. The functional is PBE.

It has space group P-1 (No. 2), with a = 5.7763 Å, b = 6.5107 Å, c = 8.6012 Å, α = 100.61°, β = 102.07° and γ = 112.86°. Symmetry generates all atoms from Sm at (0.0645, 0.1898, 0.2996), Sm at (0.2987, 0.8182, 0.1059), Sm at (0.3129, 0.4462, 0.7493), Cd at (0.3365, 0.7605, 0.4856) and Ir at (0.2409, 0.1992, 0.9902).

The value obtained for the formation energy from the elements is -219 kJ/mol of formula units. As for the energy: -5.24 eV per atom. For the energy above the most stable polymorph in this dataset, the calculation gives 0.0 meV per atom.

---

5.
This record from Alexandria via LeMat-Bulk describes crystalline SmCdIr at its relaxed geometry. The functional is PBE.

It has space group F-43m (No. 216), with a = 6.6987 Å, b = 6.6987 Å, c = 6.6987 Å, α = 90.00°, β = 90.00° and γ = 90.00°. Symmetry generates all atoms from Sm at (0.0000, 0.0000, 0.0000), Cd at (0.0000, 0.0000, 0.5000) and Ir at (0.2500, 0.2500, 0.7500).

The value obtained for the formation energy from the elements is -108 kJ/mol of formula units. As for the energy: -5.20 eV per atom.

---

6.
This record from Alexandria via LeMat-Bulk describes crystalline Sm8Cd2Ir at its relaxed geometry. The functional is PBE.

It has space group C2/m (No. 12), with a = 18.1465 Å, b = 5.3729 Å, c = 7.0251 Å, α = 90.00°, β = 108.13° and γ = 90.00°. Symmetry generates all atoms from Sm at (0.0199, 0.0000, 0.2859), Sm at (0.0905, 0.5000, 0.9250), Sm at (0.1514, 0.5000, 0.4542), Sm at (0.2011, 0.0000, 0.7938), Cd at (0.1829, 0.0000, 0.2156) and Ir at (0.0000, 0.5000, 0.5000).

The value obtained for the formation energy from the elements is -250 kJ/mol of formula units. As for the energy: -4.64 eV per atom.

---

Look up the formation energy from the elements of the fifth one. -108 kJ/mol of formula units

---

Copy entry 2 word for word.
This record from Alexandria via LeMat-Bulk describes crystalline Sm5Cd2Ir2 at its relaxed geometry. The functional is PBE.

It has space group Cmce (No. 64), with a = 16.3040 Å, b = 7.6371 Å, c = 7.8885 Å, α = 90.00°, β = 90.00° and γ = 90.00°. Symmetry generates all atoms from Sm at (0.0000, 0.0000, 0.0000), Sm at (0.1180, 0.1719, 0.3258), Cd at (0.2166, 0.0000, 0.0000) and Ir at (0.0000, 0.1289, 0.6303).

The value obtained for the formation energy from the elements is -436 kJ/mol of formula units. As for the energy: -5.30 eV per atom.

---

Which value of energy does entry 2 give? -5.30 eV per atom